DFT (PBE-GGA) results for a geometry-optimized AlIF2 structure.

Cell and atoms, written as CIF:
```
data_AlIF2
_chemical_formula_sum 'Al3 I3 F6'
_space_group_name_H-M_alt 'R -3 m'
_space_group_IT_number 166
_space_group_name_Hall '-R 3 2"'
_cell_length_a 3.3490
_cell_length_b 3.3490
_cell_length_c 27.2429
_cell_angle_alpha 90.00
_cell_angle_beta 90.00
_cell_angle_gamma 120.00
loop_
_atom_site_label
_atom_site_type_symbol
_atom_site_fract_x
_atom_site_fract_y
_atom_site_fract_z
Al1 Al 0.0000 0.0000 0.0000
I1 I 0.0000 0.0000 0.5000
F1 F 0.0000 0.0000 0.3638
```

Properties
The density of states at the Fermi level is 0.432 states/eV per atom. Its formation energy (no corrections) is -1.63 eV per atom. For the energy above the most stable polymorph in this dataset, the calculation gives 0.466 eV/atom. The size of the total moment is 0.000 μB/atom.